Record 1
The following is a SCAN calculation of a PBEsol-optimized structure of LiPbBr2, from the Alexandria database.

Results
Uncorrected formation energy: -0.725 eV per atom
Energy above the most stable polymorph in this dataset: 0.324 eV/atom
Uncorrected energy: -29.9972 eV/atom
Density of states at the Fermi level: 2.5 states/eV/f.u.

abc: 4.0233 4.3360 6.4233
angles: 90.00 90.00 90.00
Last column: nearest neighbours and their distance in Å.
Space group Pmmm (No. 47)
Asymmetric unit:
Li 0.0000 0.0000 0.0000  4 Br 2.96
Pb 0.5000 0.0000 0.5000  4 Br 2.96
Br 0.0000 0.5000 0.5000  4 Pb 2.96
Br 0.5000 0.5000 0.0000  4 Li 2.96

Record 2
The following is a SCAN calculation of a PBEsol-optimized structure of Li3PbBr, from the Alexandria database.

Results
Uncorrected formation energy: -0.621 eV per atom
Uncorrected energy: -21.1034 eV/atom
Density of states at the Fermi level: 2.0 states/eV/f.u.

abc: 4.8346 4.8346 4.8346
angles: 90.00 90.00 90.00
Last column: nearest neighbours and their distance in Å.
Space group Pm-3m (No. 221)
Asymmetric unit:
Li 0.0000 0.0000 0.5000  2 Br 2.42
Pb 0.5000 0.5000 0.5000  12 Li 3.42
Br 0.0000 0.0000 0.0000  6 Li 2.42

Record 3
The following is a SCAN calculation of a PBEsol-optimized structure of Li2PbBr, from the Alexandria database.

Results
Uncorrected formation energy: -0.816 eV per atom
Energy above the most stable polymorph in this dataset: 0.003 eV/atom
Uncorrected energy: -25.8212 eV/atom
Density of states at the Fermi level: 1.0 states/eV/f.u.

abc: 3.3515 3.3367 7.7206
angles: 90.00 93.36 90.00
Last column: nearest neighbours and their distance in Å.
Space group P2/m (No. 10)
Asymmetric unit:
Li 0.0244 0.0000 0.2903  4 Br 2.76-2.97
Pb 0.5000 0.5000 0.0000  8 Li 3.23-3.28, 4 Pb 3.34-3.35
Br 0.5000 0.5000 0.5000  8 Li 2.76-2.97

Record 4
The following is a SCAN calculation of a PBEsol-optimized structure of LiPb2Br, from the Alexandria database.

Results
Uncorrected formation energy: -0.273 eV per atom
Energy above the most stable polymorph in this dataset: 0.382 eV/atom
Uncorrected energy: -43.6257 eV/atom
Density of states at the Fermi level: 2.1 states/eV/f.u.

abc: 5.1276 5.1276 8.1083
angles: 90.00 90.00 90.00
Last column: nearest neighbours and their distance in Å.
Space group I-4m2 (No. 119)
Asymmetric unit:
Li 0.0000 0.0000 0.0000  8 Pb 3.27-3.63, 4 Br 3.27
Pb 0.0000 0.0000 0.5000  4 Br 3.27, 4 Pb 3.27, 4 Li 3.63
Pb 0.0000 0.5000 0.2500  4 Li 3.27, 4 Pb 3.27, 4 Br 3.63
Br 0.0000 0.5000 0.7500  8 Pb 3.27-3.63, 4 Li 3.27

Record 5
The following is a SCAN calculation of a PBEsol-optimized structure of LiPbBr2, from the Alexandria database.

Results
Uncorrected formation energy: -0.983 eV per atom
Energy above the most stable polymorph in this dataset: 0.065 eV/atom
Uncorrected energy: -30.2554 eV/atom
Density of states at the Fermi level: 0.9 states/eV/f.u.

abc: 4.3930 5.7901 8.6811
angles: 90.00 90.00 90.00
Last column: nearest neighbours and their distance in Å.
Space group Cmm2 (No. 35)
Asymmetric unit:
Li 0.0000 0.0000 0.0000  3 Br 2.42-2.45
Pb 0.0000 0.5000 0.5314  3 Br 3.04-3.08
Br 0.0000 0.0000 0.2827  1 Li 2.45
Br 0.0000 0.5000 0.8819  2 Li 2.42

Record 6
The following is a SCAN calculation of a PBEsol-optimized structure of Li2TePbBr, from the Alexandria database.

Results
Uncorrected formation energy: -0.140 eV per atom
Uncorrected energy: -27.5947 eV/atom
Density of states at the Fermi level: 2.2 states/eV/f.u.

abc: 5.7133 5.7133 5.4376
angles: 90.00 90.00 90.00
Last column: nearest neighbours and their distance in Å.
Space group P4/mmm (No. 123)
Asymmetric unit:
Li 0.0000 0.5000 0.0000  2 Pb 2.86
Te 0.0000 0.0000 0.5000  2 Pb 2.72
Pb 0.0000 0.0000 0.0000  2 Te 2.72, 4 Li 2.86
Br 0.5000 0.5000 0.5000  8 Li 3.94, 4 Te 4.04

Record 7
The following is a SCAN calculation of a PBEsol-optimized structure of LiPtBr2, from the Alexandria database.

Results
Uncorrected formation energy: 0.379 eV per atom
Uncorrected energy: -27.4960 eV/atom
Density of states at the Fermi level: 5.8 states/eV/f.u.

abc: 6.7538 6.7538 6.7538
angles: 90.00 90.00 90.00
Last column: nearest neighbours and their distance in Å.
Space group F-43m (No. 216)
Asymmetric unit:
Li 0.0000 0.0000 0.0000  4 Br 2.92, 4 Pt 2.92
Pt 0.2500 0.2500 0.7500  4 Li 2.92, 4 Br 2.92
Br 0.0000 0.0000 0.5000  4 Pt 2.92, 4 Br 2.92
Br 0.2500 0.2500 0.2500  4 Br 2.92, 4 Li 2.92

Record 8
The following is a SCAN calculation of a PBEsol-optimized structure of LiYPtBr2, from the Alexandria database.

Results
Uncorrected formation energy: -0.341 eV per atom
Uncorrected energy: -28.2098 eV/atom
Density of states at the Fermi level: 2.4 states/eV/f.u.

abc: 4.4048 4.4048 6.0175
angles: 90.00 90.00 90.00
Last column: nearest neighbours and their distance in Å.
Space group P4/mmm (No. 123)
Asymmetric unit:
Li 0.0000 0.0000 0.0000  4 Br 2.20
Y 0.0000 0.0000 0.5000  2 Li 3.01, 4 Pt 3.11
Pt 0.5000 0.5000 0.5000  4 Y 3.11
Br 0.0000 0.5000 0.0000  2 Li 2.20

Record 9
The following is a SCAN calculation of a PBEsol-optimized structure of Rb3LiBr, from the Alexandria database.

Results
Uncorrected formation energy: -0.266 eV per atom
Uncorrected energy: -17.0798 eV/atom
Density of states at the Fermi level: 2.5 states/eV/f.u.

abc: 6.8097 6.8097 6.8097
angles: 90.00 90.00 90.00
Last column: nearest neighbours and their distance in Å.
Space group Pm-3m (No. 221)
Asymmetric unit:
Rb 0.0000 0.0000 0.5000  2 Li 3.40
Li 0.0000 0.0000 0.0000  6 Rb 3.40
Br 0.5000 0.5000 0.5000  12 Rb 4.82

Record 10
The following is a SCAN calculation of a PBEsol-optimized structure of Rb2LiYBr6, from the Alexandria database.

Results
Uncorrected formation energy: -2.000 eV per atom
Uncorrected energy: -20.8465 eV/atom
Density of states at the Fermi level: 0.0 states/eV/f.u.

abc: 10.8322 10.8322 10.8322
angles: 90.00 90.00 90.00
Last column: nearest neighbours and their distance in Å.
Space group Fm-3m (No. 225)
Asymmetric unit:
Rb 0.2500 0.2500 0.2500  12 Br 3.83
Li 0.0000 0.0000 0.0000  6 Br 2.67
Y 0.0000 0.0000 0.5000  6 Br 2.75
Br 0.0000 0.0000 0.2464  1 Li 2.67, 1 Y 2.75

Record 11
The following is a SCAN calculation of a PBEsol-optimized structure of LiReSe2Br, from the Alexandria database.

Results
Uncorrected formation energy: 0.011 eV per atom
Uncorrected energy: -26.6095 eV/atom
Density of states at the Fermi level: 2.6 states/eV/f.u.

abc: 4.7446 4.7446 5.5855
angles: 90.00 90.00 90.00
Last column: nearest neighbours and their distance in Å.
Space group P4/mmm (No. 123)
Asymmetric unit:
Li 0.0000 0.0000 0.0000  4 Br 3.35, 8 Se 3.66
Re 0.5000 0.5000 0.5000  4 Se 2.37
Se 0.0000 0.5000 0.5000  2 Re 2.37
Br 0.5000 0.5000 0.0000  2 Re 2.79

Record 12
The following is a SCAN calculation of a PBEsol-optimized structure of LiRhBr2, from the Alexandria database.

Results
Uncorrected formation energy: -0.268 eV per atom
Uncorrected energy: -19.0383 eV/atom
Density of states at the Fermi level: 1.8 states/eV/f.u.

abc: 6.6513 6.6513 6.6513
angles: 90.00 90.00 90.00
Last column: nearest neighbours and their distance in Å.
Space group Fm-3m (No. 225)
Asymmetric unit:
Li 0.0000 0.0000 0.0000  8 Br 2.88
Rh 0.0000 0.0000 0.5000  8 Br 2.88
Br 0.2500 0.2500 0.2500  4 Li 2.88, 4 Rh 2.88

Question: Which value of uncorrected energy does entry 10 give?
Answer: -20.8465 eV/atom

Question: Which formula does entry 12 have?
Answer: LiRhBr2